[1]
# PBE Li3ScAu3, optimized geometry
# E_form ... -0.504 eV/atom
# Calculated total energy ... -3.634 eV/atom
data_Li3ScAu3
_chemical_formula_sum 'Li12 Sc4 Au12'
_cell_length_a 7.846
_cell_length_b 7.846
_cell_length_c 7.846
_cell_angle_alpha 90.00
_cell_angle_beta 90.00
_cell_angle_gamma 90.00
_space_group_name_H-M_alt 'P 21 3'
_space_group_IT_number 198
_space_group_name_Hall 'P 2ac 2ab 3'
loop_
_atom_site_label
_atom_site_type_symbol
_atom_site_fract_x
_atom_site_fract_y
_atom_site_fract_z
Li1 Li 0.127 0.373 0.627
Li2 Li 0.181 0.181 0.181
Li3 Li 0.181 0.819 0.319
Sc1 Sc 0.051 0.551 0.949
Au1 Au 0.014 0.697 0.610

---

[2]
# PBE Li3ScAu12, optimized geometry
# E_form ... -0.390 eV/atom
# Calculated total energy ... -3.603 eV/atom
data_Li3ScAu12
_chemical_formula_sum 'Li3 Sc1 Au12'
_cell_length_a 4.149
_cell_length_b 4.149
_cell_length_c 16.091
_cell_angle_alpha 90.00
_cell_angle_beta 90.00
_cell_angle_gamma 90.00
_space_group_name_H-M_alt 'P 4/m m m'
_space_group_IT_number 123
_space_group_name_Hall '-P 4 2'
loop_
_atom_site_label
_atom_site_type_symbol
_atom_site_fract_x
_atom_site_fract_y
_atom_site_fract_z
Li1 Li 0.000 0.000 0.000
Li2 Li 0.000 0.000 0.242
Sc1 Sc 0.000 0.000 0.500
Au1 Au 0.000 0.500 0.123
Au2 Au 0.000 0.500 0.370
Au3 Au 0.500 0.500 0.000
Au4 Au 0.500 0.500 0.246
Au5 Au 0.500 0.500 0.500